Entry from the Alexandria database: a relaxed structure of Ac2LaY7 (PBE).

Cell and atoms, written as POSCAR:
```
Ac2LaY7
1.0
5.890 0.000 0.000
-1.554 8.175 0.000
-1.794 -3.819 7.575
Ac La Y
2 1 7
Direct
0.082 0.217 0.226
0.918 0.783 0.774
0.000 0.500 0.000
0.000 0.000 0.500
0.325 0.479 0.721
0.344 0.743 0.478
0.485 0.134 0.878
0.515 0.866 0.122
0.656 0.257 0.522
0.675 0.521 0.279
```

**VASP energy**: -5.636 eV per atom
**DOS at the Fermi energy**: 16.82 states/eV per cell
**ΔE_f**: 203.1 meV/atom